# meta-GGA SCAN CsTiS2, PBEsol geometry
# total DFT energy (no corrections) = -75.19 eV for the cell shown
# space group = R-3m, No. 166
# energy relative to the elements, uncorrected = -202.2 kJ/mol of formula units
data_CsTiS2
_chemical_formula_sum 'Cs1 Ti1 S2'
_space_group_name_H-M_alt 'P 1'
_space_group_IT_number 1
_space_group_name_Hall 'P 1'
_cell_length_a 9.1938
_cell_length_b 9.1938
_cell_length_c 9.1938
_cell_angle_alpha 27.75
_cell_angle_beta 27.75
_cell_angle_gamma 27.75
loop_
_atom_site_label
_atom_site_type_symbol
_atom_site_fract_x
_atom_site_fract_y
_atom_site_fract_z
_atom_site_occupancy
Cs1 Cs 0.0000 0.0000 0.0000 1
Ti1 Ti 0.5000 0.5000 0.5000 1
S1 S 0.4179 0.4179 0.4179 1
S2 S 0.5821 0.5821 0.5821 1